# 1
Density functional theory data (PBE) for a relaxed PaRe2Si crystal.

* DOS at the Fermi energy: 1.384 states/eV/atom
* total magnetization: 0.0 μB per formula unit
* formation energy without anion corrections: 123.2 meV/atom
* ΔE to the lowest computed polymorph: 0.329 eV/atom

Unit cell a=4.6077 b=4.6077 c=4.6062 alpha=59.99 beta=59.99 gamma=60.00
Closest atoms and distances in Å follow each position.
Positions (direct):
Pa: 0.0000 0.0000 0.0000  8 Re 2.82
Si: 0.5000 0.5000 0.5000  8 Re 2.82
Re: 0.7499 0.7499 0.7502  4 Si 2.82, 4 Pa 2.82
Re: 0.2501 0.2501 0.2498  4 Si 2.82, 4 Pa 2.82

# 2
Density functional theory data (PBE) for a relaxed AuSe2Cl2 crystal.

* DOS at the Fermi energy: 0.187 states/eV/atom
* total magnetization: 0.0 μB per formula unit
* formation energy without anion corrections: -194.8 meV/atom
* ΔE to the lowest computed polymorph: 0.000 eV/atom

Unit cell a=6.0532 b=4.4346 c=6.6348 alpha=91.20 beta=73.25 gamma=112.33
Closest atoms and distances in Å follow each position.
Positions (direct):
Se: 0.5990 0.2492 0.1006  1 Se 2.31, 1 Au 2.52
Se: 0.8009 0.7507 0.8994  1 Se 2.31, 1 Au 2.52
Au: 0.2000 0.0000 0.0000  2 Cl 2.32, 2 Se 2.52
Cl: 0.3210 0.3715 0.7083  1 Au 2.32
Cl: 0.0790 0.6285 0.2917  1 Au 2.32

# 3
Density functional theory data (PBE) for a relaxed SmDyInRh crystal.

* DOS at the Fermi energy: 0.780 states/eV/atom
* total magnetization: 0.0 μB per formula unit
* energy of formation from the pure elements: -11.9 kcal/mol of atoms

Unit cell a=5.1500 b=5.1500 c=5.1500 alpha=60.00 beta=60.00 gamma=60.00
Closest atoms and distances in Å follow each position.
Positions (direct):
Dy: 0.2500 0.2500 0.2500  4 Rh 3.15, 4 In 3.15
Sm: 0.7500 0.7500 0.7500  4 In 3.15, 4 Rh 3.15
In: 0.5000 0.5000 0.5000  4 Dy 3.15, 4 Sm 3.15
Rh: 0.0000 0.0000 0.0000  4 Sm 3.15, 4 Dy 3.15

# 4
Density functional theory data (PBE) for a relaxed Tb3Mg2Ag4 crystal.

* DOS at the Fermi energy: 0.635 states/eV/atom
* total magnetization: 0.0 μB per formula unit
* energy of formation from the pure elements: -5.5 kcal/mol of atoms

Unit cell a=5.0450 b=5.0498 c=9.3104 alpha=90.02 beta=90.00 gamma=119.97
Closest atoms and distances in Å follow each position.
Positions (direct):
Tb: 0.0000 0.0000 0.0000  8 Ag 3.02-3.15
Tb: 0.6664 0.3327 0.4063  4 Ag 2.98-3.01
Tb: 0.3336 0.6673 0.5937  4 Ag 2.98-3.01
Ag: 0.0006 0.0012 0.6617  4 Tb 2.98-3.15, 1 Ag 3.01, 3 Mg 3.11-3.12
Ag: 0.6670 0.3340 0.0833  1 Mg 2.84, 4 Tb 3.01-3.02
Ag: 0.9994 0.9988 0.3383  4 Tb 2.98-3.15, 1 Ag 3.01, 3 Mg 3.11-3.12
Ag: 0.3330 0.6660 0.9167  1 Mg 2.84, 4 Tb 3.01-3.02
Mg: 0.6668 0.3336 0.7786  4 Ag 2.84-3.12
Mg: 0.3332 0.6664 0.2214  4 Ag 2.84-3.12

# 5
Density functional theory data (PBE) for a relaxed CsRbNp2Cl8 crystal.

* DOS at the Fermi energy: 0.512 states/eV/atom
* total magnetization: 8.0 μB per formula unit
* formation energy without anion corrections: -1744.5 meV/atom

Unit cell a=7.7880 b=7.7880 c=8.8064 alpha=90.00 beta=90.00 gamma=120.00
Closest atoms and distances in Å follow each position.
Positions (direct):
Cl: 0.0505 0.3908 0.1411  2 Np 2.86-2.88, 1 Rb 3.12
Cl: 0.3403 0.9495 0.1411  2 Np 2.86-2.88, 1 Rb 3.12
Cl: 0.6667 0.3333 0.3711  1 Np 2.63
Cl: 0.9495 0.6092 0.8589  2 Np 2.86-2.88, 1 Rb 3.12
Cl: 0.6597 0.0505 0.8589  2 Np 2.86-2.88, 1 Rb 3.12
Cl: 0.3908 0.3403 0.8589  2 Np 2.86-2.88, 1 Rb 3.12
Cl: 0.3333 0.6667 0.6289  1 Np 2.63
Cl: 0.6092 0.6597 0.1411  2 Np 2.86-2.88, 1 Rb 3.12
Np: 0.3333 0.6667 0.9271  7 Cl 2.63-2.88
Np: 0.6667 0.3333 0.0729  7 Cl 2.63-2.88
Rb: 0.0000 0.0000 0.0000  6 Cl 3.12
Cs: 0.0000 0.0000 0.5000  12 Cl 4.27-4.64, 2 Rb 4.40

# 6
Density functional theory data (PBE) for a relaxed Rb3Te2Se2 crystal.

* DOS at the Fermi energy: 0.131 states/eV/atom
* total magnetization: 0.0 μB per formula unit
* formation energy without anion corrections: -750.9 meV/atom

Unit cell a=5.2170 b=7.1098 c=10.0606 alpha=83.50 beta=80.54 gamma=57.62
Closest atoms and distances in Å follow each position.
Positions (direct):
Te: 0.7746 0.9973 0.4353  2 Te 2.89-2.93
Te: 0.2254 0.0027 0.5647  2 Te 2.89-2.93
Se: 0.2591 0.4437 0.0297  1 Se 2.53
Se: 0.7409 0.5563 0.9703  1 Se 2.53
Rb: 0.2606 0.4715 0.6919  2 Se 3.38-3.42, 1 Te 3.77
Rb: 0.7395 0.5285 0.3081  2 Se 3.38-3.42, 1 Te 3.77
Rb: 0.0000 0.0000 0.0000  4 Se 3.42-3.43

# 7
Density functional theory data (PBE) for a relaxed CaYSc crystal.

* DOS at the Fermi energy: 1.870 states/eV/atom
* total magnetization: 1.0 μB per formula unit
* ΔE to the lowest computed polymorph: 0.046 eV/atom
* energy of formation from the pure elements: 2.8 kcal/mol of atoms

Unit cell a=3.5626 b=8.9747 c=6.1709 alpha=96.55 beta=89.98 gamma=78.54
Closest atoms and distances in Å follow each position.
Positions (direct):
Sc: 0.5115 0.0731 0.3204  3 Y 3.33, 6 Sc 3.56, 3 Ca 3.59
Sc: 0.0115 0.0731 0.8204  3 Y 3.33, 6 Sc 3.56, 3 Ca 3.59
Y: 0.8610 0.3729 0.5366  3 Sc 3.33, 6 Y 3.56
Y: 0.3610 0.3729 0.0366  3 Sc 3.33, 6 Y 3.56
Ca: 0.1794 0.7365 0.4313  6 Ca 3.56, 3 Sc 3.59, 3 Y 3.78-3.79
Ca: 0.6794 0.7365 0.9313  6 Ca 3.56, 3 Sc 3.59, 3 Y 3.78-3.79

# 8
Density functional theory data (PBE) for a relaxed CeHo2ErN4 crystal.

* DOS at the Fermi energy: 0.411 states/eV/atom
* total magnetization: 0.1 μB per formula unit
* formation energy without anion corrections: -1682.7 meV/atom

Unit cell a=3.4764 b=6.0063 c=6.0065 alpha=109.30 beta=90.00 gamma=90.00
Closest atoms and distances in Å follow each position.
Positions (direct):
N: 0.0000 0.7520 0.2509  1 Er 2.44, 3 Ho 2.45, 2 Ce 2.46
N: 0.0000 0.2480 0.7491  1 Er 2.44, 3 Ho 2.45, 2 Ce 2.46
N: 0.5000 0.7500 0.7520  1 Ce 2.44, 2 Er 2.45, 3 Ho 2.46
N: 0.5000 0.2500 0.2480  1 Ce 2.44, 2 Er 2.45, 3 Ho 2.46
Ho: 0.5000 0.0000 0.5000  6 N 2.45-2.46
Ho: 0.0000 0.5000 0.5000  6 N 2.45-2.46
Er: 0.0000 0.0000 0.0000  6 N 2.44-2.45
Ce: 0.5000 0.5000 0.0000  6 N 2.44-2.46

# 9
Density functional theory data (PBE) for a relaxed Tl2AgBi crystal.

* DOS at the Fermi energy: 0.362 states/eV/atom
* total magnetization: 0.0 μB per formula unit
* ΔE to the lowest computed polymorph: 0.060 eV/atom
* energy of formation from the pure elements: 2.8 kcal/mol of atoms

Unit cell a=3.4643 b=3.4643 c=10.8781 alpha=79.74 beta=79.74 gamma=60.54
Closest atoms and distances in Å follow each position.
Positions (direct):
Tl: 0.0642 0.0642 0.7763  3 Ag 3.10-3.11, 4 Tl 3.46
Tl: 0.2454 0.2454 0.2236  3 Ag 3.05-3.15
Ag: 0.6478 0.6478 0.9993  6 Tl 3.05-3.15
Bi: 0.5426 0.5426 0.5007  6 Bi 3.46-3.49, 6 Tl 3.48-3.80

# 10
Density functional theory data (PBE) for a relaxed CuBClO4 crystal.

* DOS at the Fermi energy: 0.358 states/eV/atom
* total magnetization: 3.0 μB per formula unit
* formation energy without anion corrections: -523.8 meV/atom

Unit cell a=5.6094 b=5.6094 c=5.6133 alpha=90.00 beta=90.00 gamma=90.00
Closest atoms and distances in Å follow each position.
Positions (direct):
O: 0.4083 0.3188 0.3357  1 B 1.47
O: 0.5917 0.6812 0.3357  1 B 1.47
O: 0.1812 0.9083 0.3357  1 B 1.47
O: 0.9083 0.8188 0.6643  1 B 1.47
O: 0.6812 0.4083 0.6643  1 B 1.47
O: 0.8188 0.0917 0.3357  1 B 1.47
O: 0.3188 0.5917 0.6643  1 B 1.47
O: 0.0917 0.1812 0.6643  1 B 1.47
Cl: 0.5000 0.0000 0.8258  4 O 2.66, 2 Cu 2.74-2.88
Cl: 0.0000 0.5000 0.1742  4 O 2.66, 2 Cu 2.74-2.88
B: 0.5000 0.5000 0.5000  4 O 1.47
B: 0.0000 0.0000 0.5000  4 O 1.47
Cu: 0.0000 0.5000 0.6617  4 O 1.86
Cu: 0.5000 0.0000 0.3383  4 O 1.86

# 11
Density functional theory data (PBE) for a relaxed DyZnSi2Pt2 crystal.

* DOS at the Fermi energy: 0.426 states/eV/atom
* total magnetization: 0.0 μB per formula unit
* formation energy without anion corrections: -814.7 meV/atom

Unit cell a=4.2108 b=4.2108 c=6.6960 alpha=90.00 beta=90.00 gamma=120.00
Closest atoms and distances in Å follow each position.
Positions (direct):
Si: 0.3333 0.6667 0.7179  3 Pt 2.44
Si: 0.6667 0.3333 0.2821  3 Pt 2.44
Dy: 0.0000 0.0000 0.0000  6 Si 3.08, 6 Pt 3.19, 2 Zn 3.35
Pt: 0.6667 0.3333 0.6907  3 Si 2.44
Pt: 0.3333 0.6667 0.3093  3 Si 2.44
Zn: 0.0000 0.0000 0.5000  6 Pt 2.75, 6 Si 2.84

# 12
Density functional theory data (PBE) for a relaxed Mn2CrTc crystal.

* DOS at the Fermi energy: 1.202 states/eV/atom
* total magnetization: 3.0 μB per formula unit
* ΔE to the lowest computed polymorph: 0.012 eV/atom
* energy of formation from the pure elements: 2.3 kcal/mol of atoms

Unit cell a=2.9830 b=4.1827 c=4.1827 alpha=90.00 beta=90.00 gamma=90.00
Closest atoms and distances in Å follow each position.
Positions (direct):
Cr: 0.5000 0.0000 0.5000  8 Mn 2.57
Mn: 0.0000 0.5000 0.5000  4 Cr 2.57, 4 Tc 2.57
Mn: 0.0000 0.0000 0.0000  4 Cr 2.57, 4 Tc 2.57
Tc: 0.5000 0.5000 0.0000  8 Mn 2.57

# 13
Density functional theory data (PBE) for a relaxed LaScTa2 crystal.

* DOS at the Fermi energy: 1.195 states/eV/atom
* total magnetization: 0.0 μB per formula unit
* ΔE to the lowest computed polymorph: 0.213 eV/atom
* energy of formation from the pure elements: 9.7 kcal/mol of atoms

Unit cell a=5.9114 b=5.9114 c=5.9114 alpha=144.26 beta=128.82 gamma=63.99
Closest atoms and distances in Å follow each position.
Positions (direct):
Ta: 0.7758 0.2758 0.5000  2 Ta 2.67
Ta: 0.9713 0.9713 0.0000  2 Ta 2.67
La: 0.5124 0.5124 0.0000  8 Ta 3.16-3.49, 4 Sc 3.27-3.43
Sc: 0.2405 0.7405 0.5000  8 Ta 3.15-3.45, 4 La 3.27-3.43